Model 1:
TiCdF2: single point on PBEsol structure, SCAN.

Properties
Its density of states at the Fermi level is 0.382 states/eV per atom.

Unit cell a=5.221 b=5.221 c=6.899 alpha=112.23 beta=112.23 gamma=90.00
Site moments in Bohr magnetons follow the coordinates.
Element x y z (fractional)
Cd1 0.000 0.000 0.000  0.03
Cd2 0.250 0.750 0.500  0.03
F1 0.625 0.375 0.250  0.01
F2 0.125 0.375 0.750  0.01
F3 0.625 0.375 0.750  0.01
F4 0.625 0.875 0.250  0.01
Ti1 0.750 0.250 0.500  1.51
Ti2 0.500 0.500 0.000  1.51

---

Model 2:
TiCdF2: single point on PBEsol structure, SCAN.

Properties
Its density of states at the Fermi level is 0.329 states/eV per atom.

Unit cell a=2.790 b=2.790 c=8.552 alpha=80.61 beta=80.61 gamma=60.00
Element x y z (fractional)
F1 0.111 0.111 0.666
F2 0.889 0.889 0.334
Ti1 0.500 0.500 0.500
Cd1 0.000 0.000 0.000

---

model 2 takes first place; second place is 21.6 kJ/mol of atoms up.